Below is Na3ScCr2O6 after structural relaxation, with properties calculated at the GGA+U level.

E_tot ... -163.39 eV per cell
D(E_F) ... 0.00 states/eV per cell

Geometry as CIF:
```
data_Na3ScCr2O6
_chemical_formula_sum 'Na6 Sc2 Cr4 O12'
_space_group_name_H-M_alt 'C 1 2/m 1'
_space_group_IT_number 12
_cell_length_a 5.341
_cell_length_b 9.248
_cell_length_c 5.709
_cell_angle_alpha 90.00
_cell_angle_beta 108.14
_cell_angle_gamma 90.00
loop_
_space_group_symop_operation_xyz
'x,y,z'
'-x,-y,-z'
'-x,y,-z'
'x,-y,z'
'x+1/2,y+1/2,z'
'-x+1/2,-y+1/2,-z'
'-x+1/2,y+1/2,-z'
'x+1/2,-y+1/2,z'
loop_
_atom_site_label
_atom_site_type_symbol
_atom_site_fract_x
_atom_site_fract_y
_atom_site_fract_z
Na1 Na 0.000 0.000 0.000
Na2 Na 0.000 0.331 0.000
Sc1 Sc 0.000 0.500 0.500
Cr1 Cr 0.000 0.167 0.500
O1 O 0.224 0.000 0.701
O2 O 0.238 0.329 0.700
```